The following is a PBE calculation of ZnCuTe2 after structural relaxation, from the Alexandria database.

Calculated values
The calculated density comes out at 6.445 g cm⁻³. As for the uncorrected formation energy: -3 kJ per mole of atoms. The calculation puts the offset from the most stable computed form at 0.1955 eV/atom. For the calculated total energy, the calculation gives -2.942 eV per atom.

a b c (Å): 6.8915 4.0454 14.2015
angles (deg): 90.00 90.00 90.00
Last column: nearest neighbours and their distance in Å.
Fractional coordinates of all 16 atoms:
1 Zn 0.4368 0.2500 0.3947  5 Te 2.73-2.93
2 Zn 0.0632 0.7500 0.8947  5 Te 2.73-2.93
3 Zn 0.5632 0.7500 0.6053  5 Te 2.73-2.93
4 Zn 0.9368 0.2500 0.1053  5 Te 2.73-2.93
5 Te 0.7784 0.2500 0.4994  3 Cu 2.71-2.80, 3 Zn 2.78-2.93
6 Te 0.7216 0.7500 0.9994  3 Cu 2.71-2.80, 3 Zn 2.78-2.93
7 Te 0.2216 0.7500 0.5006  3 Cu 2.71-2.80, 3 Zn 2.78-2.93
8 Te 0.2784 0.2500 0.0006  3 Cu 2.71-2.80, 3 Zn 2.78-2.93
9 Te 0.4477 0.2500 0.7211  2 Cu 2.58-2.79, 2 Zn 2.73
10 Te 0.0523 0.7500 0.2211  2 Cu 2.58-2.79, 2 Zn 2.73
11 Te 0.5523 0.7500 0.2789  2 Cu 2.58-2.79, 2 Zn 2.73
12 Te 0.9477 0.2500 0.7789  2 Cu 2.58-2.79, 2 Zn 2.73
13 Cu 0.1071 0.2500 0.6149  5 Te 2.58-2.80
14 Cu 0.3929 0.7500 0.1149  5 Te 2.58-2.80
15 Cu 0.8929 0.7500 0.3851  5 Te 2.58-2.80
16 Cu 0.6071 0.2500 0.8851  5 Te 2.58-2.80

The following is a PBE calculation of Ce2SmPuSe4 after structural relaxation, from the Alexandria database.

Calculated values
The calculated density comes out at 7.943 g cm⁻³. As for the uncorrected formation energy: -169 kJ per mole of atoms. For the calculated total energy, the calculation gives -7.362 eV per atom.

a b c (Å): 4.1673 7.2456 7.2630
angles (deg): 109.25 90.00 90.00
Last column: nearest neighbours and their distance in Å.
Fractional coordinates of all 8 atoms:
1 Ce 0.5000 0.0000 0.5000  6 Se 2.98
2 Ce 0.0000 0.5000 0.5000  6 Se 2.97
3 Sm 0.0000 0.0000 0.0000  6 Se 2.95
4 Pu 0.5000 0.5000 0.0000  6 Se 2.93
5 Se 0.5000 0.2502 0.2461  1 Pu 2.93, 2 Sm 2.95, 3 Ce 2.97-2.98
6 Se 0.5000 0.7498 0.7539  1 Pu 2.93, 2 Sm 2.95, 3 Ce 2.97-2.98
7 Se 0.0000 0.2535 0.7554  2 Pu 2.93, 1 Sm 2.95, 3 Ce 2.97-2.98
8 Se 0.0000 0.7465 0.2446  2 Pu 2.93, 1 Sm 2.95, 3 Ce 2.97-2.98

The following is a PBE calculation of CuSn2HCl after structural relaxation, from the Alexandria database.

Calculated values
The calculated density comes out at 5.421 g cm⁻³. For the calculated total energy, the calculation gives -3.012 eV per atom.

a b c (Å): 5.6917 3.1906 5.6917
angles (deg): 90.00 90.00 90.00
Last column: nearest neighbours and their distance in Å.
Fractional coordinates of all 5 atoms:
1 H 0.0000 0.5000 0.0000  2 Cl 1.60
2 Sn 0.0000 0.0000 0.5000  2 Cl 2.85
3 Sn 0.5000 0.0000 0.0000  2 Cl 2.85
4 Cu 0.5000 0.5000 0.5000  2 Cu 3.19, 8 Sn 3.26
5 Cl 0.0000 0.0000 0.0000  2 H 1.60

The following is a PBE calculation of Ac2SmAl after structural relaxation, from the Alexandria database.

Calculated values
For the energy of formation from the pure elements, the calculation gives -49 meV per atom. The calculated density comes out at 7.765 g cm⁻³. The calculation puts the offset from the most stable computed form at 0.0204 eV/atom. For the calculated total energy, the calculation gives -4.219 eV per atom.

a b c (Å): 5.0123 5.1901 5.1901
angles (deg): 90.00 90.00 90.00
Last column: nearest neighbours and their distance in Å.
Fractional coordinates of all 4 atoms:
1 Ac 0.0000 0.0000 0.5000  4 Sm 3.61, 4 Al 3.61, 4 Ac 3.67
2 Ac 0.0000 0.5000 0.0000  4 Al 3.61, 4 Sm 3.61, 4 Ac 3.67
3 Al 0.5000 0.0000 0.0000  8 Ac 3.61, 4 Sm 3.67
4 Sm 0.5000 0.5000 0.5000  8 Ac 3.61, 4 Al 3.67

The following is a PBE calculation of Ca3YHf after structural relaxation, from the Alexandria database.

Calculated values
For the energy of formation from the pure elements, the calculation gives 1322 meV per atom. The calculated density comes out at 3.586 g cm⁻³. The calculation puts the offset from the most stable computed form at 0.4153 eV/atom. For the calculated total energy, the calculation gives -3.162 eV per atom.

a b c (Å): 5.6409 5.6409 5.6409
angles (deg): 90.00 90.00 90.00
Last column: nearest neighbours and their distance in Å.
Fractional coordinates of all 5 atoms:
1 Y 0.0000 0.0000 0.0000  6 Ca 2.82
2 Ca 0.0000 0.5000 0.0000  2 Y 2.82
3 Ca 0.0000 0.0000 0.5000  2 Y 2.82
4 Ca 0.5000 0.0000 0.0000  2 Y 2.82
5 Hf 0.5000 0.5000 0.5000  12 Ca 3.99

The following is a PBE calculation of SmDy2Hg6 after structural relaxation, from the Alexandria database.

Calculated values
For the energy of formation from the pure elements, the calculation gives -402 meV per atom. The calculated density comes out at 12.208 g cm⁻³. For the calculated total energy, the calculation gives -2.150 eV per atom.

a b c (Å): 5.4532 9.3201 9.3201
angles (deg): 78.25 82.26 82.26
Last column: nearest neighbours and their distance in Å.
Fractional coordinates of all 18 atoms:
1 Sm 0.2500 0.1261 0.8739  10 Hg 3.16-3.39
2 Sm 0.7500 0.8739 0.1261  10 Hg 3.16-3.39
3 Dy 0.4159 0.5417 0.7912  10 Hg 3.12-3.34
4 Dy 0.0841 0.2088 0.4583  10 Hg 3.12-3.34
5 Dy 0.5841 0.4583 0.2088  10 Hg 3.12-3.34
6 Dy 0.9159 0.7912 0.5417  10 Hg 3.12-3.34
7 Hg 0.4704 0.6781 0.4315  5 Hg 3.10-3.34, 4 Dy 3.14-3.32, 1 Sm 3.35
8 Hg 0.0296 0.5685 0.3219  5 Hg 3.10-3.34, 4 Dy 3.14-3.32, 1 Sm 3.35
9 Hg 0.5296 0.3219 0.5685  5 Hg 3.10-3.34, 4 Dy 3.14-3.32, 1 Sm 3.35
10 Hg 0.9704 0.4315 0.6781  5 Hg 3.10-3.34, 4 Dy 3.14-3.32, 1 Sm 3.35
11 Hg 0.6376 0.0988 0.3504  5 Hg 3.12-3.37, 4 Dy 3.12-3.34, 1 Sm 3.20
12 Hg 0.8624 0.6496 0.9012  5 Hg 3.12-3.37, 4 Dy 3.12-3.34, 1 Sm 3.20
13 Hg 0.3624 0.9012 0.6496  5 Hg 3.12-3.37, 4 Dy 3.12-3.34, 1 Sm 3.20
14 Hg 0.1376 0.3504 0.0988  5 Hg 3.12-3.37, 4 Dy 3.12-3.34, 1 Sm 3.20
15 Hg 0.3044 0.7596 0.0133  5 Hg 3.12-3.37, 2 Dy 3.13-3.32, 3 Sm 3.16-3.39
16 Hg 0.1956 0.9867 0.2404  5 Hg 3.12-3.37, 2 Dy 3.13-3.32, 3 Sm 3.16-3.39
17 Hg 0.6956 0.2404 0.9867  5 Hg 3.12-3.37, 2 Dy 3.13-3.32, 3 Sm 3.16-3.39
18 Hg 0.8044 0.0133 0.7596  5 Hg 3.12-3.37, 2 Dy 3.13-3.32, 3 Sm 3.16-3.39

The following is a PBE calculation of K3Ba5 after structural relaxation, from the Alexandria database.

Calculated values
For the energy of formation from the pure elements, the calculation gives 27 meV per atom. The calculated density comes out at 2.507 g cm⁻³. The calculation puts the offset from the most stable computed form at 0.0000 eV/atom. For the calculated total energy, the calculation gives -1.587 eV per atom.

a b c (Å): 4.3782 4.3782 29.7563
angles (deg): 90.00 90.00 111.00
Last column: nearest neighbours and their distance in Å.
Fractional coordinates of all 8 atoms:
1 K 0.0000 0.0000 0.1315  6 K 4.38-4.63, 2 Ba 4.56
2 K 0.5000 0.5000 0.0000  8 K 4.38-4.63
3 K 0.0000 0.0000 0.8685  6 K 4.38-4.63, 2 Ba 4.56
4 Ba 0.5000 0.5000 0.7400  6 Ba 4.34-4.38, 2 K 4.56
5 Ba 0.0000 0.0000 0.6202  8 Ba 4.34-4.38
6 Ba 0.5000 0.5000 0.5000  8 Ba 4.35-4.38
7 Ba 0.0000 0.0000 0.3798  8 Ba 4.34-4.38
8 Ba 0.5000 0.5000 0.2600  6 Ba 4.34-4.38, 2 K 4.56

The following is a PBE calculation of TbPa3Sn12 after structural relaxation, from the Alexandria database.

Calculated values
For the energy of formation from the pure elements, the calculation gives -333 meV per atom. The calculated density comes out at 9.334 g cm⁻³. For the calculated total energy, the calculation gives -5.405 eV per atom.

a b c (Å): 4.6777 4.6777 18.5099
angles (deg): 90.00 90.00 90.00
Last column: nearest neighbours and their distance in Å.
Fractional coordinates of all 16 atoms:
1 Tb 0.0000 0.0000 0.0000  12 Sn 3.31
2 Pa 0.0000 0.0000 0.2532  12 Sn 3.26-3.31
3 Pa 0.0000 0.0000 0.5000  12 Sn 3.28-3.31
4 Pa 0.0000 0.0000 0.7468  12 Sn 3.26-3.31
5 Sn 0.5000 0.5000 0.0000  4 Tb 3.31, 8 Sn 3.31
6 Sn 0.5000 0.5000 0.2511  8 Sn 3.28-3.29, 4 Pa 3.31
7 Sn 0.5000 0.5000 0.5000  8 Sn 3.28, 4 Pa 3.31
8 Sn 0.5000 0.5000 0.7489  8 Sn 3.28-3.29, 4 Pa 3.31
9 Sn 0.5000 0.0000 0.1267  8 Sn 3.28-3.31, 2 Pa 3.31, 2 Tb 3.31
10 Sn 0.5000 0.0000 0.3760  4 Pa 3.26-3.28, 8 Sn 3.28-3.31
11 Sn 0.5000 0.0000 0.6240  4 Pa 3.26-3.28, 8 Sn 3.28-3.31
12 Sn 0.5000 0.0000 0.8733  8 Sn 3.28-3.31, 2 Pa 3.31, 2 Tb 3.31
13 Sn 0.0000 0.5000 0.1267  8 Sn 3.28-3.31, 2 Pa 3.31, 2 Tb 3.31
14 Sn 0.0000 0.5000 0.3760  4 Pa 3.26-3.28, 8 Sn 3.28-3.31
15 Sn 0.0000 0.5000 0.6240  4 Pa 3.26-3.28, 8 Sn 3.28-3.31
16 Sn 0.0000 0.5000 0.8733  8 Sn 3.28-3.31, 2 Pa 3.31, 2 Tb 3.31